No. 1
## ErTm4Lu (GGA-PBE)

Data for a geometry-optimized ErTm4Lu structure.

Unit cell a=9.1044 b=9.1044 c=9.1044 alpha=90.00 beta=90.00 gamma=90.00
Space group F-43m (No. 216)
One atom of each set of equivalent atoms:
Er (0.0000, 0.0000, 0.0000)
Tm (0.1250, 0.1250, 0.3750)
Lu (0.2500, 0.2500, 0.7500)

formation energy from the elements	0.261	eV/atom
crystal system	cubic
VASP energy	-25.40	eV per formula unit

=====

No. 2
## Li2B2AsPd5 (GGA-PBE)

Data for a geometry-optimized Li2B2AsPd5 structure.

Unit cell a=9.4740 b=9.4740 c=3.0422 alpha=90.00 beta=90.00 gamma=90.00
Space group P4/mbm (No. 127)
One atom of each set of equivalent atoms:
Li (0.1749, 0.3251, 0.0000)
B (0.1242, 0.6242, 0.0000)
As (0.0000, 0.0000, 0.0000)
Pd (0.0000, 0.5000, 0.5000)
Pd (0.0731, 0.7810, 0.5000)

formation energy from the elements	-0.398	eV/atom
crystal system	tetragonal
VASP energy	-51.78	eV per formula unit

=====

No. 3
## BeInCl2 (GGA-PBE)

Data for a geometry-optimized BeInCl2 structure.

Unit cell a=3.5925 b=3.0389 c=11.2811 alpha=90.00 beta=93.35 gamma=90.00
Space group P2/m (No. 10)
One atom of each set of equivalent atoms:
Be (0.0000, 0.0000, 0.0000)
In (0.5000, 0.0000, 0.5000)
Cl (0.1255, 0.5000, 0.8792)

ΔE_f (raw)	-614.1	meV per atom
crystal system	monoclinic
VASP energy	-12.61	eV per formula unit

=====

No. 4
## NaCoPCl2 (GGA-PBE)

Data for a geometry-optimized NaCoPCl2 structure.

Unit cell a=5.0085 b=5.0085 c=4.1729 alpha=90.00 beta=90.00 gamma=90.00
Space group P4/mmm (No. 123)
One atom of each set of equivalent atoms:
Na (0.0000, 0.0000, 0.0000)
Co (0.5000, 0.5000, 0.5000)
P (0.5000, 0.5000, 0.0000)
Cl (0.0000, 0.5000, 0.5000)

ΔE_f (raw)	-398.8	meV per atom
crystal system	tetragonal
VASP energy	-19.52	eV per formula unit